Run P
Crystalline Co2BiBr at its relaxed geometry. Source: Alexandria via LeMat-Bulk, functional PBE-GGA.

Calculated values
- Symmetry: Fm-3m, No. 225

Geometry as POSCAR:
```
Co2BiBr
1.0
-0.087 -4.347 -1.571
-0.509 -3.517 2.957
-3.947 -2.406 0.074
Bi Co Br
1 2 1
direct
0.500 0.500 0.500 Bi
0.250 0.250 0.250 Co
0.750 0.750 0.750 Co
0.000 0.000 0.000 Br
```

---

Run Q
Crystalline Co2BiBr at its relaxed geometry. Source: Alexandria via LeMat-Bulk, functional PBE-GGA.

Calculated values
- Symmetry: I-42d, No. 122

Geometry as POSCAR:
```
Co2BiBr
1.0
5.543 0.000 0.000
0.000 5.543 0.000
2.771 2.771 5.720
Br Bi Co
2 2 4
direct
0.250 0.750 0.500 Br
0.500 0.500 0.000 Br
0.750 0.250 0.500 Bi
0.000 0.000 0.000 Bi
0.375 0.421 0.750 Co
0.579 0.125 0.250 Co
0.171 0.625 0.250 Co
0.875 0.829 0.750 Co
```

---

Energy ordering: run Q at the bottom, the next structure 175 meV/atom above.

---

Run P
Crystalline CoBi2Br at its relaxed geometry. Source: Alexandria via LeMat-Bulk, functional PBE-GGA.

Calculated values
- Symmetry: Fm-3m, No. 225

Geometry as POSCAR:
```
CoBi2Br
1.0
-2.692 -1.755 3.958
-3.638 2.894 2.093
-4.907 -1.241 -0.605
Bi Br Co
2 1 1
direct
0.250 0.250 0.250 Bi
0.750 0.750 0.750 Bi
0.500 0.500 0.500 Br
0.000 0.000 0.000 Co
```

---

Run Q
Crystalline CoBi2Br at its relaxed geometry. Source: Alexandria via LeMat-Bulk, functional PBE-GGA.

Calculated values
- Symmetry: I-42d, No. 122

Geometry as POSCAR:
```
CoBi2Br
1.0
6.543 0.000 0.000
0.000 6.543 0.000
3.272 3.272 6.145
Co Bi Br
2 4 2
direct
0.500 0.500 0.000 Co
0.250 0.750 0.500 Co
0.375 0.481 0.750 Bi
0.231 0.625 0.250 Bi
0.875 0.769 0.750 Bi
0.519 0.125 0.250 Bi
0.750 0.250 0.500 Br
0.000 0.000 0.000 Br
```

---

Energy ordering: run Q at the bottom, the next structure 413 meV/atom above.

---

Run P
Crystalline CrBi3Br at its relaxed geometry. Source: Alexandria via LeMat-Bulk, functional PBE-GGA.

Calculated values
- Symmetry: Pm-3m, No. 221

Geometry as POSCAR:
```
CrBi3Br
1.0
-2.771 3.092 3.198
-4.440 -2.152 -1.766
0.271 -3.643 3.757
Cr Bi Br
1 3 1
direct
0.000 0.000 0.000 Cr
0.000 0.000 0.500 Bi
0.000 0.500 0.000 Bi
0.500 0.000 0.000 Bi
0.500 0.500 0.500 Br
```

---

Run Q
Crystalline CrBi3Br at its relaxed geometry. Source: Alexandria via LeMat-Bulk, functional PBE-GGA.

Calculated values
- Symmetry: Pm-3m, No. 221

Geometry as POSCAR:
```
CrBi3Br
1.0
-0.843 5.006 -2.443
1.406 -2.200 -4.993
-5.390 -1.357 -0.920
Bi Br Cr
3 1 1
direct
0.000 0.500 0.000 Bi
0.000 0.000 0.500 Bi
0.500 0.000 0.000 Bi
0.000 0.000 0.000 Br
0.500 0.500 0.500 Cr
```

---

Energy ordering: run P at the bottom, the next structure 1289 meV/atom above.

---

Run P
Crystalline CsBiBr2 at its relaxed geometry. Source: Alexandria via LeMat-Bulk, functional PBE-GGA.

Calculated values
- Symmetry: Pmmm, No. 47

Geometry as POSCAR:
```
CsBiBr2
1.0
6.082 0.000 0.000
0.000 6.262 0.000
0.000 0.000 4.000
Br Bi Cs
2 1 1
direct
0.500 0.000 0.000 Br
0.000 0.500 0.000 Br
0.500 0.500 0.000 Bi
0.000 0.000 0.500 Cs
```

---

Run Q
Crystalline CsBiBr2 at its relaxed geometry. Source: Alexandria via LeMat-Bulk, functional PBE-GGA.

Calculated values
- Symmetry: P1, No. 1

Geometry as POSCAR:
```
CsBiBr2
1.0
4.568 0.000 0.000
1.299 9.485 0.000
1.667 3.742 8.676
Br Bi Cs
4 2 2
direct
0.572 0.481 0.561 Br
0.805 0.437 0.011 Br
0.025 0.906 0.845 Br
0.850 0.911 0.252 Br
0.867 0.916 0.543 Bi
0.368 0.686 0.709 Bi
0.397 0.171 0.951 Cs
0.190 0.561 0.230 Cs
```

---

Energy ordering: run Q at the bottom, the next structure 190 meV/atom above.

---

Run P
Crystalline CsBiBr2 at its relaxed geometry. Source: Alexandria via LeMat-Bulk, functional PBE-GGA.

Calculated values
- Symmetry: Fm-3m, No. 225

Geometry as POSCAR:
```
CsBiBr2
1.0
0.000 4.218 4.218
4.218 0.000 4.218
4.218 4.218 0.000
Cs Br Bi
1 2 1
direct
0.000 0.000 0.000 Cs
0.250 0.250 0.250 Br
0.750 0.750 0.750 Br
0.500 0.500 0.500 Bi
```

---

Run Q
Crystalline CsBiBr2 at its relaxed geometry. Source: Alexandria via LeMat-Bulk, functional PBE-GGA.

Calculated values
- Symmetry: P1, No. 1

Geometry as POSCAR:
```
CsBiBr2
1.0
-4.533 -0.554 0.115
-0.712 -8.990 -2.015
-0.930 -5.317 8.101
Br Cs Bi
4 2 2
direct
0.696 0.800 0.928 Br
0.194 0.663 0.383 Br
0.466 0.395 0.924 Br
0.434 0.094 0.322 Br
0.844 0.441 0.219 Cs
0.056 0.063 0.031 Cs
0.458 0.929 0.627 Bi
0.030 0.684 0.669 Bi
```

---

Energy ordering: run Q at the bottom, the next structure 525 meV/atom above.

---

Run P
Crystalline CsBiBr3 at its relaxed geometry. Source: Alexandria via LeMat-Bulk, functional PBE-GGA.

Calculated values
- Symmetry: Immm, No. 71

Geometry as POSCAR:
```
CsBiBr3
1.0
7.744 0.000 0.000
3.872 8.653 0.052
3.872 0.739 8.622
Cs Br Bi
2 6 2
direct
0.000 0.796 0.204 Cs
0.000 0.204 0.796 Cs
0.902 0.836 0.836 Br
0.425 0.836 0.836 Br
0.098 0.164 0.164 Br
0.500 0.657 0.343 Br
0.575 0.164 0.164 Br
0.500 0.343 0.657 Br
0.692 0.308 0.308 Bi
0.308 0.692 0.692 Bi
```

---

Run Q
Crystalline CsBiBr3 at its relaxed geometry. Source: Alexandria via LeMat-Bulk, functional PBE-GGA.

Calculated values
- Symmetry: Pm-3m, No. 221

Geometry as POSCAR:
```
CsBiBr3
1.0
5.952 0.000 0.000
0.000 5.952 0.000
0.000 0.000 5.952
Br Cs Bi
3 1 1
direct
0.000 0.000 0.500 Br
0.000 0.500 0.000 Br
0.500 0.000 0.000 Br
0.500 0.500 0.500 Cs
0.000 0.000 0.000 Bi
```

---

Energy ordering: run Q at the bottom, the next structure 148 meV/atom above.

---

Run P
Crystalline Cs2BiBr at its relaxed geometry. Source: Alexandria via LeMat-Bulk, functional PBE-GGA.

Calculated values
- Symmetry: P4/mmm, No. 123

Geometry as POSCAR:
```
Cs2BiBr
1.0
-1.876 1.851 -3.070
0.618 -3.246 -2.335
-9.255 -4.066 3.203
Bi Br Cs
1 1 2
direct
0.500 0.500 0.500 Bi
0.500 0.500 0.000 Br
0.000 0.000 0.214 Cs
0.000 0.000 0.786 Cs
```

---

Run Q
Crystalline Cs2BiBr at its relaxed geometry. Source: Alexandria via LeMat-Bulk, functional PBE-GGA.

Calculated values
- Symmetry: Fm-3m, No. 225

Geometry as POSCAR:
```
Cs2BiBr
1.0
-2.000 -5.788 2.176
-5.618 -0.493 3.230
-5.096 -2.930 -2.772
Cs Br Bi
2 1 1
direct
0.750 0.750 0.750 Cs
0.250 0.250 0.250 Cs
0.000 0.000 0.000 Br
0.500 0.500 0.500 Bi
```

---

Run R
Crystalline Cs2BiBr at its relaxed geometry. Source: Alexandria via LeMat-Bulk, functional PBE-GGA.

Calculated values
- Symmetry: I-42d, No. 122

Geometry as POSCAR:
```
Cs2BiBr
1.0
9.984 0.000 0.000
0.000 9.984 0.000
4.992 4.992 4.989
Bi Cs Br
2 4 2
direct
0.000 0.000 0.000 Bi
0.750 0.250 0.500 Bi
0.875 0.835 0.750 Cs
0.165 0.625 0.250 Cs
0.375 0.415 0.750 Cs
0.585 0.125 0.250 Cs
0.500 0.500 0.000 Br
0.250 0.750 0.500 Br
```

---

Energy ordering: run P at the bottom, the next structure 238 meV/atom above.

---

Run P
Crystalline Cs2InBiBr6 at its relaxed geometry. Source: Alexandria via LeMat-Bulk, functional PBE-GGA.

Calculated values
- Symmetry: Fm-3m, No. 225

Geometry as POSCAR:
```
Cs2InBiBr6
1.0
8.450 0.000 0.000
4.225 7.318 0.000
4.225 2.439 6.900
Br In Cs Bi
6 1 2 1
direct
0.242 0.758 0.758 Br
0.758 0.758 0.242 Br
0.758 0.242 0.758 Br
0.758 0.242 0.242 Br
0.242 0.242 0.758 Br
0.242 0.758 0.242 Br
0.500 0.500 0.500 In
0.250 0.250 0.250 Cs
0.750 0.750 0.750 Cs
0.000 0.000 0.000 Bi
```

---

Run Q
Crystalline Cs2InBiBr6 at its relaxed geometry. Source: Alexandria via LeMat-Bulk, functional PBE-GGA.

Calculated values
- Symmetry: P2_1/c, No. 14

Geometry as POSCAR:
```
Cs2InBiBr6
1.0
8.284 0.000 -0.028
0.000 8.578 0.000
0.032 0.000 11.924
Cs Bi Br In
4 2 12 2
direct
0.016 0.942 0.250 Cs
0.984 0.058 0.750 Cs
0.516 0.558 0.750 Cs
0.484 0.442 0.250 Cs
0.000 0.500 0.000 Bi
0.500 0.000 0.500 Bi
0.432 0.988 0.738 Br
0.068 0.488 0.762 Br
0.808 0.779 0.965 Br
0.192 0.221 0.035 Br
0.218 0.194 0.464 Br
0.568 0.012 0.262 Br
0.932 0.512 0.238 Br
0.692 0.279 0.535 Br
0.718 0.306 0.964 Br
0.308 0.721 0.465 Br
0.282 0.694 0.036 Br
0.782 0.806 0.536 Br
0.000 0.500 0.500 In
0.500 0.000 0.000 In
```

---

Energy ordering: run Q at the bottom, the next structure 10 meV/atom above.

---

Run P
Crystalline Cs2KBiBr6 at its relaxed geometry. Source: Alexandria via LeMat-Bulk, functional PBE-GGA.

Calculated values
- Symmetry: P2_1/c, No. 14

Geometry as POSCAR:
```
Cs2KBiBr6
1.0
8.324 0.000 -0.033
0.000 8.668 0.000
0.025 0.000 11.933
Bi Cs K Br
2 4 2 12
direct
0.500 0.000 0.500 Bi
0.000 0.500 0.000 Bi
0.481 0.437 0.250 Cs
0.981 0.063 0.750 Cs
0.019 0.937 0.250 Cs
0.519 0.563 0.750 Cs
0.000 0.500 0.500 K
0.500 0.000 0.000 K
0.816 0.776 0.953 Br
0.184 0.224 0.047 Br
0.914 0.523 0.233 Br
0.086 0.477 0.767 Br
0.414 0.977 0.733 Br
0.280 0.688 0.042 Br
0.586 0.023 0.267 Br
0.684 0.276 0.547 Br
0.220 0.188 0.458 Br
0.780 0.812 0.542 Br
0.316 0.724 0.453 Br
0.720 0.312 0.958 Br
```

---

Run Q
Crystalline Cs2KBiBr6 at its relaxed geometry. Source: Alexandria via LeMat-Bulk, functional PBE-GGA.

Calculated values
- Symmetry: Fm-3m, No. 225

Geometry as POSCAR:
```
Cs2KBiBr6
1.0
-2.033 3.634 -7.445
-8.154 1.725 -1.818
-2.707 8.087 -0.200
Br Bi Cs K
6 1 2 1
direct
0.237 0.763 0.237 Br
0.763 0.237 0.763 Br
0.763 0.237 0.237 Br
0.237 0.237 0.763 Br
0.763 0.763 0.237 Br
0.237 0.763 0.763 Br
0.000 0.000 0.000 Bi
0.250 0.250 0.250 Cs
0.750 0.750 0.750 Cs
0.500 0.500 0.500 K
```

---

Energy ordering: run P at the bottom, the next structure 23 meV/atom above.

---

Run P
Crystalline Cs2NaBiBr6 at its relaxed geometry. Source: Alexandria via LeMat-Bulk, functional PBE-GGA.

Calculated values
- Symmetry: P2_1/c, No. 14

Geometry as POSCAR:
```
Cs2NaBiBr6
1.0
-1.922 7.310 3.110
-7.942 -2.169 0.188
1.406 -4.212 10.776
Cs Bi Br Na
4 2 12 2
direct
0.991 0.040 0.750 Cs
0.509 0.540 0.750 Cs
0.009 0.960 0.250 Cs
0.491 0.460 0.250 Cs
0.000 0.500 0.000 Bi
0.500 0.000 0.500 Bi
0.720 0.291 0.971 Br
0.207 0.219 0.026 Br
0.220 0.209 0.471 Br
0.947 0.502 0.244 Br
0.053 0.498 0.756 Br
0.780 0.791 0.529 Br
0.447 0.998 0.744 Br
0.280 0.709 0.029 Br
0.553 0.002 0.256 Br
0.707 0.281 0.526 Br
0.293 0.719 0.474 Br
0.793 0.781 0.974 Br
0.500 0.000 0.000 Na
0.000 0.500 0.500 Na
```

---

Run Q
Crystalline Cs2NaBiBr6 at its relaxed geometry. Source: Alexandria via LeMat-Bulk, functional PBE-GGA.

Calculated values
- Symmetry: Fm-3m, No. 225

Geometry as POSCAR:
```
Cs2NaBiBr6
1.0
-7.164 3.974 0.757
-4.543 -0.967 6.791
-0.726 6.184 5.378
Br Bi Cs Na
6 1 2 1
direct
0.754 0.246 0.754 Br
0.246 0.246 0.754 Br
0.246 0.754 0.246 Br
0.246 0.754 0.754 Br
0.754 0.246 0.246 Br
0.754 0.754 0.246 Br
0.000 0.000 0.000 Bi
0.250 0.250 0.250 Cs
0.750 0.750 0.750 Cs
0.500 0.500 0.500 Na
```

---

Energy ordering: run P at the bottom, the next structure 5 meV/atom above.

---

Run P
Crystalline Cs2TlBiBr6 at its relaxed geometry. Source: Alexandria via LeMat-Bulk, functional PBE-GGA.

Calculated values
- Symmetry: Fm-3m, No. 225

Geometry as POSCAR:
```
Cs2TlBiBr6
1.0
-4.342 -7.317 0.820
2.078 -5.533 6.174
-5.237 -1.139 6.658
Br Cs Tl Bi
6 2 1 1
direct
0.762 0.762 0.238 Br
0.762 0.238 0.762 Br
0.762 0.238 0.238 Br
0.238 0.762 0.762 Br
0.238 0.762 0.238 Br
0.238 0.238 0.762 Br
0.250 0.250 0.250 Cs
0.750 0.750 0.750 Cs
0.500 0.500 0.500 Tl
0.000 0.000 0.000 Bi
```

---

Run Q
Crystalline Cs2TlBiBr6 at its relaxed geometry. Source: Alexandria via LeMat-Bulk, functional PBE-GGA.

Calculated values
- Symmetry: P2_1/c, No. 14

Geometry as POSCAR:
```
Cs2TlBiBr6
1.0
-1.846 -2.099 -7.817
-7.872 -2.621 2.562
-4.302 11.010 -1.954
Cs Tl Bi Br
4 2 2 12
direct
0.520 0.566 0.749 Cs
0.480 0.434 0.251 Cs
0.980 0.066 0.751 Cs
0.020 0.934 0.249 Cs
0.500 0.000 0.000 Tl
0.000 0.500 0.500 Tl
0.500 0.000 0.500 Bi
0.000 0.500 0.000 Bi
0.683 0.279 0.542 Br
0.082 0.482 0.766 Br
0.217 0.186 0.459 Br
0.582 0.018 0.266 Br
0.418 0.982 0.734 Br
0.283 0.686 0.041 Br
0.817 0.779 0.958 Br
0.918 0.518 0.234 Br
0.317 0.721 0.458 Br
0.783 0.814 0.541 Br
0.717 0.314 0.959 Br
0.183 0.221 0.042 Br
```

---

Energy ordering: run Q at the bottom, the next structure 19 meV/atom above.